1.
# TbPm3Dy6Y2

A geometry-optimized TbPm3Dy6Y2 structure (PBE-GGA, Alexandria).

Cell lengths 6.1958, 6.1958, 11.8413 Å; angles 94.98, 94.98, 119.97 degrees
With the nearest neighbours (Å) after each atom.
Element x y z (fractional)
Dy: 0.7503 0.7503 0.2479  1 Tb 3.55, 2 Y 3.56, 6 Dy 3.57-3.58, 3 Pm 3.59-3.60
Dy: 0.2497 0.2497 0.7521  1 Tb 3.55, 2 Y 3.56, 6 Dy 3.57-3.58, 3 Pm 3.59-3.60
Dy: 0.0831 0.4159 0.2479  2 Y 3.55-3.56, 1 Tb 3.55, 6 Dy 3.57-3.58, 3 Pm 3.59
Dy: 0.5841 0.9169 0.7521  2 Y 3.55-3.56, 1 Tb 3.55, 6 Dy 3.57-3.58, 3 Pm 3.59
Dy: 0.9169 0.5841 0.7521  2 Y 3.55-3.56, 1 Tb 3.55, 6 Dy 3.57-3.58, 3 Pm 3.59
Dy: 0.4159 0.0831 0.2479  2 Y 3.55-3.56, 1 Tb 3.55, 6 Dy 3.57-3.58, 3 Pm 3.59
Pm: 0.8333 0.1667 0.5000  6 Pm 3.58, 6 Dy 3.59
Pm: 0.1667 0.8333 0.5000  6 Pm 3.58, 6 Dy 3.59
Pm: 0.5000 0.5000 0.5000  6 Pm 3.58, 6 Dy 3.59-3.60
Y: 0.6667 0.3333 0.0000  6 Dy 3.55-3.56, 3 Tb 3.58, 3 Y 3.58
Y: 0.3333 0.6667 0.0000  6 Dy 3.55-3.56, 3 Tb 3.58, 3 Y 3.58
Tb: 0.0000 0.0000 0.0000  6 Dy 3.55, 6 Y 3.58

ΔH_f (0 K) ... 0.20 eV per formula unit
Space-group type ... No. 12



2.
# TbPmDy2Y6

A geometry-optimized TbPmDy2Y6 structure (PBE-GGA, Alexandria).

Cell lengths 9.6908, 8.7811, 8.7811 Å; angles 117.36, 94.57, 94.57 degrees
With the nearest neighbours (Å) after each atom.
Element x y z (fractional)
Pm: 0.2500 0.4069 0.5931  6 Y 3.42-3.56, 2 Dy 3.55
Pm: 0.7500 0.5931 0.4069  6 Y 3.42-3.56, 2 Dy 3.55
Y: 0.3812 0.5053 0.2942  4 Y 3.25-3.57, 3 Dy 3.28-3.45, 2 Pm 3.42-3.56
Y: 0.4437 0.2489 0.8804  7 Y 3.42-3.80, 1 Dy 3.47, 1 Tb 3.64
Y: 0.6826 0.0214 0.5726  3 Y 3.25-3.61, 2 Dy 3.40-3.64, 1 Pm 3.49, 1 Tb 3.55
Y: 0.3174 0.9786 0.4274  3 Y 3.25-3.61, 2 Dy 3.40-3.64, 1 Pm 3.49, 1 Tb 3.55
Y: 0.8812 0.2942 0.5053  4 Y 3.25-3.57, 3 Dy 3.28-3.45, 2 Pm 3.42-3.56
Y: 0.5563 0.7511 0.1196  7 Y 3.42-3.80, 1 Dy 3.47, 1 Tb 3.64
Y: 0.0563 0.1196 0.7511  7 Y 3.42-3.80, 1 Dy 3.47, 1 Tb 3.64
Y: 0.1826 0.5726 0.0214  3 Y 3.25-3.61, 2 Dy 3.40-3.64, 1 Pm 3.49, 1 Tb 3.55
Y: 0.9437 0.8804 0.2489  7 Y 3.42-3.80, 1 Dy 3.47, 1 Tb 3.64
Y: 0.6188 0.4947 0.7058  4 Y 3.25-3.57, 3 Dy 3.28-3.45, 2 Pm 3.42-3.56
Y: 0.1188 0.7058 0.4947  4 Y 3.25-3.57, 3 Dy 3.28-3.45, 2 Pm 3.42-3.56
Y: 0.8174 0.4274 0.9786  3 Y 3.25-3.61, 2 Dy 3.40-3.64, 1 Pm 3.49, 1 Tb 3.55
Dy: 0.4544 0.8072 0.7064  6 Y 3.28-3.64, 2 Tb 3.37-3.38, 1 Pm 3.55
Dy: 0.0456 0.2936 0.1928  6 Y 3.28-3.64, 2 Tb 3.37-3.38, 1 Pm 3.55
Dy: 0.9544 0.7064 0.8072  6 Y 3.28-3.64, 2 Tb 3.37-3.38, 1 Pm 3.55
Dy: 0.5456 0.1928 0.2936  6 Y 3.28-3.64, 2 Tb 3.37-3.38, 1 Pm 3.55
Tb: 0.7500 0.0235 0.9765  4 Dy 3.37-3.38, 4 Y 3.55-3.64
Tb: 0.2500 0.9765 0.0235  4 Dy 3.37-3.38, 4 Y 3.55-3.64

ΔH_f (0 K) ... 1.20 eV per formula unit
Space-group type ... No. 15



| no. | ρ (g cm⁻³) |
| --- | --- |
| 1 | 7.48 |
| 2 | 5.89 |